1.
## FeCuAg2 (SCAN)

Data for FeCuAg2 at its PBEsol-relaxed geometry.

Computed properties:
DFT formation energy: 0.207 eV/atom
Crystal system: trigonal

abc: 8.9791 8.9791 8.9791
angles: 17.43 17.43 17.43
Fractional coordinates of all 4 atoms:
Fe1 0.0000 0.0000 0.0000
Cu1 0.2595 0.2595 0.2595
Ag1 0.5101 0.5101 0.5101
Ag2 0.7512 0.7512 0.7512



2.
## Li3TiV3O8 (SCAN)

Data for Li3TiV3O8 at its PBEsol-relaxed geometry.

Computed properties:
Total DFT energy (no corrections): -11.0169 eV/atom
Crystal system: monoclinic

abc: 6.2720 6.2720 6.4159
angles: 106.59 106.59 36.89
Fractional coordinates of all 15 atoms:
Li1 0.0000 0.0000 0.0000
Li2 0.1135 0.1135 0.7044
Li3 0.8833 0.8833 0.3502
Ti1 0.7659 0.7659 0.6429
V1 0.3389 0.3389 0.0571
V2 0.4435 0.4435 0.6566
V3 0.6679 0.6679 0.0440
O1 0.1674 0.1674 0.0276
O2 0.2809 0.2809 0.7053
O3 0.3987 0.3987 0.3531
O4 0.4928 0.4928 0.9879
O5 0.6154 0.6154 0.7072
O6 0.7170 0.7170 0.3550
O7 0.8363 0.8363 0.0211
O8 0.9428 0.9428 0.6682



3.
## Ca2MnSeBr (SCAN)

Data for Ca2MnSeBr at its PBEsol-relaxed geometry.

Computed properties:
Total DFT energy (no corrections): -15.7985 eV/atom
Crystal system: tetragonal

abc: 5.4922 5.4922 4.3283
angles: 90.00 90.00 90.00
Fractional coordinates of all 5 atoms:
Ca1 0.0000 0.5000 0.0000
Ca2 0.5000 0.0000 0.0000
Mn1 0.0000 0.0000 0.5000
Se1 0.5000 0.5000 0.5000
Br1 0.0000 0.0000 0.0000



4.
## Zr2MnBe (SCAN)

Data for Zr2MnBe at its PBEsol-relaxed geometry.

Computed properties:
DFT formation energy: -0.096 eV/atom
Crystal system: monoclinic

abc: 3.3206 3.8974 5.0684
angles: 90.00 104.40 90.00
Fractional coordinates of all 4 atoms:
Zr1 0.0000 0.0000 0.0000
Zr2 0.2281 0.5000 0.5676
Mn1 0.6608 0.0000 0.4135
Be1 0.5587 0.5000 0.1487



5.
## SiAgPb2 (SCAN)

Data for SiAgPb2 at its PBEsol-relaxed geometry.

Computed properties:
Total DFT energy (no corrections): -47.7893 eV/atom
Crystal system: tetragonal

abc: 5.2645 5.2645 5.2645
angles: 126.36 126.36 79.29
Fractional coordinates of all 4 atoms:
Si1 0.0000 0.0000 0.0000
Ag1 0.5000 0.5000 0.0000
Pb1 0.2500 0.7500 0.5000
Pb2 0.7500 0.2500 0.5000



6.
## NiH20C8N10 (SCAN)

Data for NiH20C8N10 at its PBEsol-relaxed geometry.

Computed properties:
Total DFT energy (no corrections): -6.8332 eV/atom
Crystal system: monoclinic

abc: 6.4665 8.9070 10.9974
angles: 90.00 98.99 90.00
Fractional coordinates of all 78 atoms:
Ni1 0.0000 0.0000 0.0000
Ni2 0.0000 0.5000 0.5000
H1 0.0188 0.1836 0.4207
H2 0.0188 0.3164 0.9207
H3 0.1035 0.0870 0.8028
H4 0.1035 0.4130 0.3028
H5 0.1401 0.5282 0.1255
H6 0.1401 0.9718 0.6255
H7 0.2887 0.1645 0.9614
H8 0.2887 0.3355 0.4614
H9 0.3385 0.5861 0.9531
H10 0.3385 0.9139 0.4531
H11 0.3561 0.6963 0.7080
H12 0.3561 0.8037 0.2080
H13 0.3683 0.7147 0.4642
H14 0.3683 0.7853 0.9642
H15 0.3864 0.5109 0.7701
H16 0.3864 0.9891 0.2701
H17 0.4192 0.0856 0.8106
H18 0.4192 0.4144 0.3106
H19 0.4507 0.1630 0.4414
H20 0.4507 0.3370 0.9414
H21 0.5493 0.6630 0.0586
H22 0.5493 0.8370 0.5586
H23 0.5808 0.5856 0.6894
H24 0.5808 0.9144 0.1894
H25 0.6136 0.0109 0.7299
H26 0.6136 0.4891 0.2299
H27 0.6317 0.2147 0.0358
H28 0.6317 0.2853 0.5358
H29 0.6439 0.1963 0.7920
H30 0.6439 0.3037 0.2920
H31 0.6615 0.0861 0.5469
H32 0.6615 0.4139 0.0469
H33 0.7113 0.6645 0.5386
H34 0.7113 0.8355 0.0386
H35 0.8599 0.0282 0.3745
H36 0.8599 0.4718 0.8745
H37 0.8965 0.5870 0.6972
H38 0.8965 0.9130 0.1972
H39 0.9812 0.6836 0.0793
H40 0.9812 0.8164 0.5793
C1 0.0367 0.1063 0.2465
C2 0.0367 0.3937 0.7465
C3 0.2576 0.2282 0.1300
C4 0.2576 0.2718 0.6300
C5 0.4549 0.6772 0.9664
C6 0.4549 0.8228 0.4664
C7 0.4716 0.6137 0.7529
C8 0.4716 0.8863 0.2529
C9 0.5284 0.1137 0.7471
C10 0.5284 0.3863 0.2471
C11 0.5451 0.1772 0.5336
C12 0.5451 0.3228 0.0336
C13 0.7424 0.7282 0.3700
C14 0.7424 0.7718 0.8700
C15 0.9633 0.6063 0.2535
C16 0.9633 0.8937 0.7535
N1 0.0160 0.5942 0.1378
N2 0.0160 0.9058 0.6378
N3 0.0348 0.5059 0.3381
N4 0.0348 0.9941 0.8381
N5 0.1710 0.2199 0.2334
N6 0.1710 0.2801 0.7334
N7 0.1982 0.1477 0.0287
N8 0.1982 0.3523 0.5287
N9 0.4166 0.1674 0.6304
N10 0.4166 0.3326 0.1304
N11 0.5834 0.6674 0.8696
N12 0.5834 0.8326 0.3696
N13 0.8018 0.6477 0.4713
N14 0.8018 0.8523 0.9713
N15 0.8290 0.7199 0.2666
N16 0.8290 0.7801 0.7666
N17 0.9652 0.0059 0.1619
N18 0.9652 0.4941 0.6619
N19 0.9840 0.0942 0.3622
N20 0.9840 0.4058 0.8622



7.
## La2YAg (SCAN)

Data for La2YAg at its PBEsol-relaxed geometry.

Computed properties:
DFT formation energy: -0.131 eV/atom
Crystal system: monoclinic

abc: 6.5156 6.5156 5.5718
angles: 115.14 115.14 33.14
Fractional coordinates of all 4 atoms:
La1 0.0000 0.0000 0.0000
La2 0.2235 0.2235 0.7299
Y1 0.4418 0.4418 0.4424
Ag1 0.7319 0.7319 0.2417



8.
## Ba2ZnSe3 (SCAN)

Data for Ba2ZnSe3 at its PBEsol-relaxed geometry.

Computed properties:
Total DFT energy (no corrections): -27.2817 eV/atom
Crystal system: orthorhombic

abc: 9.0661 4.3864 17.5490
angles: 90.00 90.00 90.00
Fractional coordinates of all 24 atoms:
Ba1 0.0828 0.2500 0.2123
Ba2 0.2494 0.7500 0.4564
Ba3 0.2506 0.2500 0.9564
Ba4 0.4172 0.7500 0.7123
Ba5 0.5828 0.2500 0.2877
Ba6 0.7494 0.7500 0.0436
Ba7 0.7506 0.2500 0.5436
Ba8 0.9172 0.7500 0.7877
Zn1 0.1369 0.2500 0.6354
Zn2 0.3631 0.7500 0.1354
Zn3 0.6369 0.2500 0.8646
Zn4 0.8631 0.7500 0.3646
Se1 0.0062 0.7500 0.6014
Se2 0.1238 0.7500 0.0708
Se3 0.1812 0.2500 0.7737
Se4 0.3188 0.7500 0.2737
Se5 0.3762 0.2500 0.5708
Se6 0.4938 0.2500 0.1014
Se7 0.5062 0.7500 0.8986
Se8 0.6238 0.7500 0.4292
Se9 0.6812 0.2500 0.7263
Se10 0.8188 0.7500 0.2263
Se11 0.8762 0.2500 0.9292
Se12 0.9938 0.2500 0.3986